TlCuPb2: optimized geometry, PBE.

Geometry as CIF:
```
data_TlCuPb2
_space_group_name_H-M_alt 'P 1 2/m 1'
_space_group_IT_number 10
_cell_length_a 3.371
_cell_length_b 3.541
_cell_length_c 8.836
_cell_angle_alpha 90.00
_cell_angle_beta 90.20
_cell_angle_gamma 90.00
loop_
_space_group_symop_operation_xyz
'x,y,z'
'-x,-y,-z'
'-x,y,-z'
'x,-y,z'
loop_
_atom_site_label
_atom_site_fract_x
_atom_site_fract_y
_atom_site_fract_z
Tl1 0.000 0.000 0.000
Cu1 0.000 0.000 0.500
Pb1 0.491 0.500 0.303
```

Values from the calculation:
Formation enthalpy at 0 K: 116 meV/atom
Calculated density: 10.741 Mg/m³
Total moment: 0.00 μB/f.u.